No. 1
Material: BiBIr
Method: DFT, PBE-GGA
State: relaxed

As for the space group: C2/m (12). For the energy relative to the elements, the calculation gives 201.9 meV/atom. The calculated volume comes out at 231.5 Å³/cell.

Geometry as POSCAR:
```
BiBIr
1.0
10.0094 0.0000 0.0000
0.0000 3.9820 0.0000
-1.8992 0.0000 5.8083
Bi B Ir
4 4 4
direct
0.1104 0.0000 0.3243
0.3896 0.5000 0.6757
0.6104 0.5000 0.3243
0.8896 0.0000 0.6757
0.1565 0.5000 0.8181
0.3435 0.0000 0.1819
0.6565 0.0000 0.8181
0.8435 0.5000 0.1819
0.2155 0.0000 0.8321
0.2845 0.5000 0.1679
0.7155 0.5000 0.8321
0.7845 0.0000 0.1679
```



No. 2
Material: Bi2BIr
Method: DFT, PBE-GGA
State: relaxed

As for the space group: I-42d (122). For the energy relative to the elements, the calculation gives 811.1 meV/atom. The calculated volume comes out at 394.3 Å³/cell.

Geometry as POSCAR:
```
Bi2BIr
1.0
6.0413 0.0000 0.0000
0.0000 6.0413 0.0000
0.0000 0.0000 10.8040
Bi B Ir
8 4 4
direct
0.2136 0.2500 0.1250
0.2500 0.7136 0.3750
0.2500 0.7864 0.8750
0.2864 0.2500 0.6250
0.7136 0.7500 0.6250
0.7500 0.2136 0.8750
0.7500 0.2864 0.3750
0.7864 0.7500 0.1250
0.0000 0.0000 0.0000
0.0000 0.5000 0.2500
0.5000 0.0000 0.7500
0.5000 0.5000 0.5000
0.0000 0.0000 0.5000
0.0000 0.5000 0.7500
0.5000 0.0000 0.2500
0.5000 0.5000 0.0000
```



No. 3
Material: BiB2Ir2
Method: DFT, PBE-GGA
State: relaxed

As for the space group: I4/mmm (139). For the energy relative to the elements, the calculation gives 16.6 meV/atom. The calculated volume comes out at 146.3 Å³/cell.

Geometry as POSCAR:
```
BiB2Ir2
1.0
3.0949 0.0000 0.0000
0.0000 3.0949 0.0000
0.0000 0.0000 15.2729
Bi B Ir
2 4 4
direct
0.0000 0.0000 0.0000
0.5000 0.5000 0.5000
0.0000 0.5000 0.2500
0.0000 0.5000 0.7500
0.5000 0.0000 0.2500
0.5000 0.0000 0.7500
0.0000 0.0000 0.3465
0.0000 0.0000 0.6535
0.5000 0.5000 0.1535
0.5000 0.5000 0.8465
```



No. 4
Material: Bi3BIr
Method: DFT, PBE-GGA
State: relaxed

The excess energy over the best structure of this formula in the dataset is 0 meV per atom. As for the space group: Pm-3m (221). For the energy relative to the elements, the calculation gives 1113.2 meV/atom. The calculated volume comes out at 115.8 Å³/cell.

Geometry as POSCAR:
```
Bi3BIr
1.0
4.8737 0.0000 0.0000
0.0000 4.8737 0.0000
0.0000 0.0000 4.8737
Bi B Ir
3 1 1
direct
0.0000 0.0000 0.5000
0.0000 0.5000 0.0000
0.5000 0.0000 0.0000
0.0000 0.0000 0.0000
0.5000 0.5000 0.5000
```



No. 5
Material: BiB3Ir
Method: DFT, PBE-GGA
State: relaxed

The excess energy over the best structure of this formula in the dataset is 1969 meV per atom. As for the space group: Pm-3m (221). For the energy relative to the elements, the calculation gives 3040.2 meV/atom. The calculated volume comes out at 93.1 Å³/cell.

Geometry as POSCAR:
```
BiB3Ir
1.0
4.5316 0.0000 0.0000
0.0000 4.5316 0.0000
0.0000 0.0000 4.5316
Bi B Ir
1 3 1
direct
0.0000 0.0000 0.0000
0.0000 0.0000 0.5000
0.0000 0.5000 0.0000
0.5000 0.0000 0.0000
0.5000 0.5000 0.5000
```



No. 6
Material: Bi3BIr
Method: DFT, PBE-GGA
State: relaxed

The excess energy over the best structure of this formula in the dataset is 275 meV per atom. As for the space group: Pm-3m (221). For the energy relative to the elements, the calculation gives 1388.0 meV/atom. The calculated volume comes out at 154.3 Å³/cell.

Geometry as POSCAR:
```
Bi3BIr
1.0
5.3635 0.0000 0.0000
0.0000 5.3635 0.0000
0.0000 0.0000 5.3635
Bi B Ir
3 1 1
direct
0.0000 0.0000 0.5000
0.0000 0.5000 0.0000
0.5000 0.0000 0.0000
0.5000 0.5000 0.5000
0.0000 0.0000 0.0000
```



No. 7
Material: NbBi2BIr
Method: DFT, PBE-GGA
State: relaxed

As for the space group: P4/mmm (123). For the energy relative to the elements, the calculation gives 899.8 meV/atom. The calculated volume comes out at 101.3 Å³/cell.

Geometry as POSCAR:
```
NbBi2BIr
1.0
4.9071 0.0000 0.0000
0.0000 4.9071 0.0000
0.0000 0.0000 4.2066
Nb Bi B Ir
1 2 1 1
direct
0.0000 0.0000 0.0000
0.0000 0.5000 0.5000
0.5000 0.0000 0.5000
0.0000 0.0000 0.5000
0.5000 0.5000 0.0000
```



No. 8
Material: BiBIrO2
Method: DFT, PBE-GGA
State: relaxed

The calculation puts the formation energy without anion corrections at 0.37 eV per atom. As for the space group: P4/mmm (123). The calculated volume comes out at 63.0 Å³/cell.

Geometry as POSCAR:
```
BiBIrO2
1.0
3.7590 0.0000 0.0000
0.0000 3.7590 0.0000
0.0000 0.0000 4.4576
Bi B Ir O
1 1 1 2
direct
0.0000 0.0000 0.0000
0.5000 0.5000 0.5000
0.5000 0.5000 0.0000
0.0000 0.5000 0.5000
0.5000 0.0000 0.5000
```



No. 9
Material: BiBIrPt2
Method: DFT, PBE-GGA
State: relaxed

The excess energy over the best structure of this formula in the dataset is 2154 meV per atom. As for the space group: P4/mmm (123). For the energy relative to the elements, the calculation gives 2172.6 meV/atom. The calculated volume comes out at 111.1 Å³/cell.

Geometry as POSCAR:
```
BiBIrPt2
1.0
5.0497 0.0000 0.0000
0.0000 5.0497 0.0000
0.0000 0.0000 4.3573
Bi B Ir Pt
1 1 1 2
direct
0.0000 0.0000 0.0000
0.0000 0.0000 0.5000
0.5000 0.5000 0.5000
0.0000 0.5000 0.0000
0.5000 0.0000 0.0000
```



No. 10
Material: BiBIrPt2
Method: DFT, PBE-GGA
State: relaxed

The excess energy over the best structure of this formula in the dataset is 0 meV per atom. As for the space group: P4/mmm (123). For the energy relative to the elements, the calculation gives 18.5 meV/atom. The calculated volume comes out at 81.9 Å³/cell.

Geometry as POSCAR:
```
BiBIrPt2
1.0
4.4008 0.0000 0.0000
0.0000 4.4008 0.0000
0.0000 0.0000 4.2313
Bi B Ir Pt
1 1 1 2
direct
0.0000 0.0000 0.0000
0.5000 0.5000 0.5000
0.5000 0.5000 0.0000
0.0000 0.5000 0.5000
0.5000 0.0000 0.5000
```



No. 11
Material: Re2BiBIr
Method: DFT, PBE-GGA
State: relaxed

As for the space group: P4/mmm (123). For the energy relative to the elements, the calculation gives 3441.2 meV/atom. The calculated volume comes out at 108.0 Å³/cell.

Geometry as POSCAR:
```
Re2BiBIr
1.0
5.0391 0.0000 0.0000
0.0000 5.0391 0.0000
0.0000 0.0000 4.2541
Re Bi B Ir
2 1 1 1
direct
0.0000 0.5000 0.0000
0.5000 0.0000 0.0000
0.0000 0.0000 0.0000
0.0000 0.0000 0.5000
0.5000 0.5000 0.5000
```



No. 12
Material: ReBiB2Ir
Method: DFT, PBE-GGA
State: relaxed

As for the space group: P4/mmm (123). For the energy relative to the elements, the calculation gives 1152.3 meV/atom. The calculated volume comes out at 90.2 Å³/cell.

Geometry as POSCAR:
```
ReBiB2Ir
1.0
4.0441 0.0000 0.0000
0.0000 4.0441 0.0000
0.0000 0.0000 5.5134
Re Bi B Ir
1 1 2 1
direct
0.0000 0.0000 0.0000
0.5000 0.5000 0.0000
0.0000 0.5000 0.5000
0.5000 0.0000 0.5000
0.0000 0.0000 0.5000
```